(1)
Density functional theory data (GGA-PBE) for an optimized crystal structure of AcPmScHg.

Cell: 5.500 5.500 5.500 Å, 60.00 60.00 60.00°
Sites, in units of the cell vectors:
1 Ac 0.000 0.000 0.000
2 Pm 0.750 0.750 0.750
3 Sc 0.250 0.250 0.250
4 Hg 0.500 0.500 0.500

Output
symmetry	F-43m (216)
energy of formation	0.062	eV/atom
spin magnetization	0.00	μB/f.u.
calculated total energy	-3.811	eV per atom


(2)
Density functional theory data (GGA-PBE) for an optimized crystal structure of TbPm6Nd2Tm.

Cell: 8.945 8.945 9.792 Å, 94.26 94.26 118.10°
Sites, in units of the cell vectors:
1 Tb 0.020 0.980 0.750
2 Tb 0.980 0.020 0.250
3 Pm 0.015 0.573 0.690
4 Pm 0.124 0.753 0.055
5 Pm 0.247 0.876 0.445
6 Pm 0.292 0.502 0.881
7 Pm 0.427 0.985 0.810
8 Pm 0.498 0.708 0.619
9 Pm 0.502 0.292 0.381
10 Pm 0.573 0.015 0.190
11 Pm 0.708 0.498 0.119
12 Pm 0.753 0.124 0.555
13 Pm 0.876 0.247 0.945
14 Pm 0.985 0.427 0.310
15 Nd 0.197 0.299 0.543
16 Nd 0.299 0.197 0.043
17 Nd 0.701 0.803 0.957
18 Nd 0.803 0.701 0.457
19 Tm 0.409 0.591 0.250
20 Tm 0.591 0.409 0.750

Output
symmetry	C2/c (15)
energy of formation	0.114	eV/atom
spin magnetization	0.00	μB/f.u.
calculated total energy	-4.600	eV per atom


(3)
Density functional theory data (GGA-PBE) for an optimized crystal structure of Cr2Te2Pt.

Cell: 8.389 8.389 8.389 Å, 156.56 156.56 33.39°
Sites, in units of the cell vectors:
1 Cr 0.250 0.750 0.500
2 Cr 0.750 0.250 0.500
3 Te 0.119 0.119 0.000
4 Te 0.881 0.881 0.000
5 Pt 0.500 0.500 0.000

Output
symmetry	I4/mmm (139)
spin magnetization	0.00	μB/f.u.
calculated total energy	-5.924	eV per atom
ΔE_f (raw)	391	meV per atom


(4)
Density functional theory data (GGA-PBE) for an optimized crystal structure of BeCd2Ni.

Cell: 2.962 2.962 6.930 Å, 90.00 90.00 90.00°
Sites, in units of the cell vectors:
1 Be 0.000 0.000 0.000
2 Cd 0.000 0.000 0.615
3 Cd 0.500 0.500 0.274
4 Ni 0.500 0.500 0.884

Output
symmetry	P4mm (99)
energy of formation	-0.002	eV/atom
spin magnetization	0.00	μB/f.u.
calculated total energy	-2.836	eV per atom